[1]
Entry from Alexandria via LeMat-Bulk: a relaxed Be2VRh2 crystal (GGA-PBE).

a = 6.4157 Å, b = 6.4157 Å, c = 2.7910 Å
α = 90.00°, β = 90.00°, γ = 90.00°
Last column: nearest neighbours and their distance in Å.
Space group P4/mbm (No. 127)
Symmetry-distinct sites (fractional):
1 Be 0.1223 0.3777 0.0000 x4  1 Be 2.22, 6 Rh 2.33-2.37
2 V 0.0000 0.0000 0.0000 x2  4 Be 2.55, 8 Rh 2.76, 2 V 2.79
3 Rh 0.1718 0.6718 0.5000 x4  6 Be 2.33-2.37

Calculated values
density of states at the Fermi level = 7.718 states/eV per cell
polymorph energy (0 for the lowest one) = 0.00 eV per formula unit
formation enthalpy at 0 K = -483 meV per atom

=====

[2]
Entry from Alexandria via LeMat-Bulk: a relaxed Li5Cu4 crystal (GGA-PBE).

a = 2.5721 Å, b = 15.3312 Å, c = 21.1657 Å
α = 90.00°, β = 90.00°, γ = 90.00°
Last column: nearest neighbours and their distance in Å.
Space group Fmmm (No. 69)
Symmetry-distinct sites (fractional):
1 Li 0.0000 0.0000 0.0000 x4  4 Cu 2.39, 2 Li 2.57
2 Li 0.0000 0.0000 0.3157 x8  2 Li 2.57, 4 Cu 2.62
3 Li 0.0000 0.1632 0.5000 x8  4 Li 2.57-2.81, 4 Cu 2.69
4 Cu 0.0000 0.0834 0.0952 x16  3 Li 2.39-2.62, 3 Cu 2.56-2.57

Calculated values
density of states at the Fermi level = 10.734 states/eV per cell
polymorph energy (0 for the lowest one) = 3.44 eV per formula unit
formation enthalpy at 0 K = 364 meV per atom

=====

[3]
Entry from Alexandria via LeMat-Bulk: a relaxed Tm3Al2BRu3 crystal (GGA-PBE).

a = 7.2167 Å, b = 7.2167 Å, c = 3.4317 Å
α = 90.00°, β = 90.00°, γ = 120.00°
Last column: nearest neighbours and their distance in Å.
Space group P-62m (No. 189)
Symmetry-distinct sites (fractional):
1 Tm 0.0000 0.3601 0.0000 x3  1 B 2.60, 4 Ru 2.86, 4 Al 2.88
2 Al 0.3333 0.6667 0.5000 x2  3 Ru 2.84, 6 Tm 2.88
3 B 0.0000 0.0000 0.0000 x1  6 Ru 2.40, 3 Tm 2.60
4 Ru 0.0000 0.7669 0.5000 x3  2 B 2.40

Calculated values
density of states at the Fermi level = 4.273 states/eV per cell
formation enthalpy at 0 K = -421 meV per atom

=====

[4]
Entry from Alexandria via LeMat-Bulk: a relaxed Tl3CdTc2O8 crystal (GGA-PBE).

a = 6.1184 Å, b = 6.1184 Å, c = 7.8698 Å
α = 90.00°, β = 90.00°, γ = 120.00°
Last column: nearest neighbours and their distance in Å.
Space group P-3m1 (No. 164)
Symmetry-distinct sites (fractional):
1 Tl 0.0000 0.0000 0.0000 x1  6 O 3.03
2 Tl 0.3333 0.6667 0.6725 x2  1 O 2.58
3 Cd 0.0000 0.0000 0.5000 x1  6 O 2.36
4 Tc 0.3333 0.6667 0.2258 x2  4 O 1.78-1.83
5 O 0.1714 0.3428 0.3083 x6  1 Tc 1.83
6 O 0.3333 0.6667 0.0002 x2  1 Tc 1.78

Calculated values
density of states at the Fermi level = 9.283 states/eV per cell
formation energy from raw total energies = -1.073 eV/atom

=====

[5]
Entry from Alexandria via LeMat-Bulk: a relaxed HfZnAg2 crystal (GGA-PBE).

a = 6.0038 Å, b = 6.0038 Å, c = 11.8635 Å
α = 90.00°, β = 90.00°, γ = 90.00°
Last column: nearest neighbours and their distance in Å.
Space group I-42d (No. 122)
Symmetry-distinct sites (fractional):
1 Hf 0.0000 0.0000 0.0000 x4  4 Ag 2.70
2 Zn 0.0000 0.0000 0.5000 x4  4 Ag 2.49
3 Ag 0.2190 0.2500 0.6250 x8  2 Zn 2.49, 2 Hf 2.70

Calculated values
density of states at the Fermi level = 9.222 states/eV per cell
formation enthalpy at 0 K = 876 meV per atom

=====

[6]
Entry from Alexandria via LeMat-Bulk: a relaxed BaAlP2 crystal (GGA-PBE).

a = 4.8035 Å, b = 4.8035 Å, c = 4.0442 Å
α = 90.00°, β = 90.00°, γ = 90.00°
Last column: nearest neighbours and their distance in Å.
Space group P4/mmm (No. 123)
Symmetry-distinct sites (fractional):
1 Ba 0.0000 0.0000 0.0000 x1  8 P 3.14, 4 Al 3.40
2 Al 0.5000 0.5000 0.0000 x1  8 P 3.14, 4 Ba 3.40
3 P 0.0000 0.5000 0.5000 x2  4 Ba 3.14, 4 Al 3.14, 4 P 3.40

Calculated values
density of states at the Fermi level = 3.225 states/eV per cell
formation enthalpy at 0 K = 27 meV per atom

=====

| no. | total energy (eV/f.u.) |
| --- | --- |
| 1 | -33.7 |
| 2 | -22.7 |
| 3 | -59.2 |
| 4 | -83.4 |
| 5 | -13.4 |
| 6 | -16.4 |